Record 1
Pr2NdTh2: relaxed, PBE.

The calculation puts the raw total energy at -29.00 eV/f.u.

The structure belongs to space group I4/mmm (No. 139); the cell edges are 3.6281, 3.6281 and 26.1159 Å and the angles 90.00°, 90.00° and 90.00°. The inequivalent atoms are Pr at (0.0000, 0.0000, 0.1051), Nd at (0.0000, 0.0000, 0.5000) and Th at (0.0000, 0.0000, 0.2963).

Record 2
Cs2HgHSe2: relaxed, PBE.

The calculation puts the raw total energy at -14.62 eV/f.u.

The structure belongs to space group Ibam (No. 72); the cell edges are 7.6600, 14.7176 and 7.2652 Å and the angles 90.00°, 90.00° and 90.00°. The inequivalent atoms are Cs at (0.1733, 0.1444, 0.0000), Hg at (0.0000, 0.5000, 0.2500), H at (0.0000, 0.0000, 0.2500) and Se at (0.1898, 0.3996, 0.0000).

Record 3
Cd2HgAu6: relaxed, PBE.

The calculation puts the raw total energy at -22.38 eV/f.u.

The structure belongs to space group P4_2/mnm (No. 136); the cell edges are 8.9668, 8.9668 and 4.2618 Å and the angles 90.00°, 90.00° and 90.00°. The inequivalent atoms are Cd at (0.1776, 0.1776, 0.0000), Hg at (0.0000, 0.0000, 0.5000), Au at (0.0039, 0.3356, 0.5000) and Au at (0.1617, 0.8383, 0.0000).

Record 4
Mg2ScZn: relaxed, PBE.

The calculation puts the raw total energy at -11.04 eV/f.u.

The structure belongs to space group P2/m (No. 10); the cell edges are 3.1633, 4.7794 and 5.6156 Å and the angles 90.00°, 100.68° and 90.00°. The inequivalent atoms are Mg at (0.1525, 0.0000, 0.2633), Sc at (0.5000, 0.5000, 0.0000) and Zn at (0.0000, 0.5000, 0.5000).

Record 5
Pm8Ge3PtI4: relaxed, PBE.

The uncorrected formation energy comes out at -1.014 eV per atom.

The structure belongs to space group R-3m (No. 166, hexagonal axes); the cell edges are 8.6941, 8.6941 and 22.7515 Å and the angles 90.00°, 90.00° and 120.00°. The inequivalent atoms are Pm at (0.0000, 0.0000, 0.2338), Pm at (0.0074, 0.5037, 0.2322), Ge at (0.0000, 0.5000, 0.5000), Pt at (0.0000, 0.0000, 0.5000), I at (0.0000, 0.0000, 0.0000) and I at (0.0000, 0.5000, 0.0000).

Record 6
TmInHgAu: relaxed, PBE.

The calculation puts the raw total energy at -12.77 eV/f.u.

The structure belongs to space group F-43m (No. 216); the cell edges are 7.0891, 7.0891 and 7.0891 Å and the angles 90.00°, 90.00° and 90.00°. The inequivalent atoms are Tm at (0.0000, 0.0000, 0.0000), In at (0.0000, 0.0000, 0.5000), Hg at (0.2500, 0.2500, 0.7500) and Au at (0.2500, 0.2500, 0.2500).

Record 7
MgCOF2: relaxed, PBE.

The uncorrected formation energy comes out at -0.431 eV per atom. For the energy above the lowest structure with this stoichiometry, the calculation gives 0.000 eV per atom.

The structure belongs to space group P4/mmm (No. 123); the cell edges are 3.8856, 3.8856 and 3.4332 Å and the angles 90.00°, 90.00° and 90.00°. The inequivalent atoms are Mg at (0.0000, 0.0000, 0.0000), C at (0.5000, 0.5000, 0.5000), O at (0.5000, 0.5000, 0.0000) and F at (0.0000, 0.5000, 0.5000).

Record 8
ScTaRe3: relaxed, PBE.

For the energy above the lowest structure with this stoichiometry, the calculation gives 0.000 eV per atom.

The structure belongs to space group Pm-3m (No. 221); the cell edges are 4.7647, 4.7647 and 4.7647 Å and the angles 90.00°, 90.00° and 90.00°. The inequivalent atoms are Sc at (0.0000, 0.0000, 0.0000), Ta at (0.5000, 0.5000, 0.5000) and Re at (0.0000, 0.5000, 0.5000).